Record 1
Computed, not measured: an optimized crystal structure of TiMnCl4 at the PBE level of DFT.

Cell lengths 7.433, 15.762, 6.142 Å; angles 90.00, 123.19, 90.00 degrees
Space group C2/c (No. 15)
Inequivalent atoms, fractional coordinates:
Ti 0.000 0.055 0.250 x4
Mn 0.000 0.414 0.750 x4
Cl 0.226 0.166 0.232 x8
Cl 0.241 0.450 0.255 x8

**Magnetic moment**: 27.197 Bohr magnetons per cell
**Raw formation energy**: -1151 meV/atom
**DFT total energy**: -0.38412 Ry/atom
**Fermi-level density of states**: 12.9 states/eV per cell
**V**: 25.093 Å³ per atom

Record 2
Computed, not measured: an optimized crystal structure of Ti2Mn2Cl at the PBE level of DFT.

Cell lengths 7.027, 7.027, 3.165 Å; angles 90.00, 90.00, 90.00 degrees
Space group P4/mbm (No. 127)
Inequivalent atoms, fractional coordinates:
Ti 0.164 0.336 0.000 x4
Mn 0.122 0.622 0.500 x4
Cl 0.000 0.000 0.500 x2

**Magnetic moment**: 5.998 Bohr magnetons per cell
**Raw formation energy**: 208 meV/atom
**DFT total energy**: -0.51352 Ry/atom
**Energy above the most stable polymorph in this dataset**: 0 meV per atom
**Fermi-level density of states**: 8.3 states/eV per cell
**V**: 15.628 Å³ per atom

Record 3
Computed, not measured: an optimized crystal structure of TiMnCl3 at the PBE level of DFT.

Cell lengths 4.960, 4.960, 4.960 Å; angles 90.00, 90.00, 90.00 degrees
Space group Pm-3m (No. 221)
Inequivalent atoms, fractional coordinates:
Ti 0.000 0.000 0.000 x1
Mn 0.500 0.500 0.500 x1
Cl 0.000 0.000 0.500 x3

**Magnetic moment**: 7.517 Bohr magnetons per cell
**Raw formation energy**: -554 meV/atom
**DFT total energy**: -0.37299 Ry/atom
**Energy above the most stable polymorph in this dataset**: 0 meV per atom
**Fermi-level density of states**: 11.1 states/eV per cell
**V**: 24.404 Å³ per atom

Record 4
Computed, not measured: an optimized crystal structure of TiMn2Cl at the PBE level of DFT.

Cell lengths 7.232, 7.232, 4.997 Å; angles 90.00, 90.00, 90.00 degrees
Space group I-42d (No. 122)
Inequivalent atoms, fractional coordinates:
Ti 0.000 0.000 0.000 x4
Mn 0.205 0.250 0.625 x8
Cl 0.000 0.000 0.500 x4

**Magnetic moment**: 25.671 Bohr magnetons per cell
**Raw formation energy**: 360 meV/atom
**DFT total energy**: -0.48954 Ry/atom
**Energy above the most stable polymorph in this dataset**: 0 meV per atom
**Fermi-level density of states**: 24.7 states/eV per cell
**V**: 16.334 Å³ per atom

Record 5
Computed, not measured: an optimized crystal structure of TiMn3Cl at the PBE level of DFT.

Cell lengths 4.061, 4.061, 4.061 Å; angles 90.00, 90.00, 90.00 degrees
Space group Pm-3m (No. 221)
Inequivalent atoms, fractional coordinates:
Ti 0.000 0.000 0.000 x1
Mn 0.000 0.500 0.500 x3
Cl 0.500 0.500 0.500 x1

**Magnetic moment**: 0.000 Bohr magnetons per cell
**Raw formation energy**: 697 meV/atom
**DFT total energy**: -0.49635 Ry/atom
**Energy above the most stable polymorph in this dataset**: 0 meV per atom
**Fermi-level density of states**: 6.4 states/eV per cell
**V**: 13.396 Å³ per atom

Record 6
Computed, not measured: an optimized crystal structure of TiMn2Cl at the PBE level of DFT.

Cell lengths 5.890, 5.890, 5.890 Å; angles 90.00, 90.00, 90.00 degrees
Space group Fm-3m (No. 225)
Inequivalent atoms, fractional coordinates:
Ti 0.000 0.000 0.000 x4
Mn 0.250 0.250 0.250 x8
Cl 0.000 0.000 0.500 x4

**Magnetic moment**: 0.005 Bohr magnetons per cell
**Raw formation energy**: 767 meV/atom
**DFT total energy**: -0.45963 Ry/atom
**Energy above the most stable polymorph in this dataset**: 407 meV per atom
**Fermi-level density of states**: 17.2 states/eV per cell
**V**: 12.770 Å³ per atom

Record 7
Computed, not measured: an optimized crystal structure of Ti2Mn2Cl at the PBE level of DFT.

Cell lengths 4.816, 4.816, 6.777 Å; angles 90.00, 90.00, 90.00 degrees
Space group I4/mmm (No. 139)
Inequivalent atoms, fractional coordinates:
Ti 0.000 0.500 0.250 x4
Mn 0.000 0.000 0.158 x4
Cl 0.000 0.000 0.500 x2

**Magnetic moment**: 0.000 Bohr magnetons per cell
**Raw formation energy**: 601 meV/atom
**DFT total energy**: -0.48464 Ry/atom
**Energy above the most stable polymorph in this dataset**: 393 meV per atom
**Fermi-level density of states**: 11.5 states/eV per cell
**V**: 15.718 Å³ per atom

Record 8
Computed, not measured: an optimized crystal structure of Ti2MnCl8 at the PBE level of DFT.

Cell lengths 11.827, 9.986, 6.122 Å; angles 90.00, 90.72, 90.00 degrees
Space group C2/m (No. 12)
Inequivalent atoms, fractional coordinates:
Ti 0.194 0.000 0.353 x4
Mn 0.000 0.000 0.000 x2
Cl 0.099 0.181 0.211 x8
Cl 0.128 0.500 0.746 x4
Cl 0.171 0.000 0.722 x4

**Magnetic moment**: 6.000 Bohr magnetons per cell
**Raw formation energy**: -1355 meV/atom
**DFT total energy**: -0.36509 Ry/atom
**Fermi-level density of states**: 13.2 states/eV per cell
**V**: 32.862 Å³ per atom